(1)
## SrMg2Se (meta-GGA SCAN)

Data for SrMg2Se at its PBEsol-relaxed geometry.

abc: 4.286 6.014 4.364
angles: 90.00 91.62 90.00
Fractional positions:
Sr1 0.000 0.000 0.000
Mg1 0.269 0.500 0.732
Mg2 0.731 0.500 0.268
Se1 0.500 0.000 0.500

Calculated values
ΔE_f (raw)	-0.6229	eV/atom
calculated volume	28.11	A^3/atom
DFT total energy	-13.70	eV/atom
size of the total moment	0.00	μB per atom
space group	P2/m (10)

(2)
## Ti3CoPb (meta-GGA SCAN)

Data for Ti3CoPb at its PBEsol-relaxed geometry.

abc: 5.017 5.017 5.017
angles: 90.00 90.00 90.00
Fractional positions:
Ti1 0.000 0.000 0.500
Ti2 0.000 0.500 0.000
Ti3 0.500 0.000 0.000
Co1 0.500 0.500 0.500
Pb1 0.000 0.000 0.000

Calculated values
calculated volume	25.26	A^3/atom
DFT total energy	-26.78	eV/atom
size of the total moment	0.34	μB per atom
space group	Pm-3m (221)

(3)
## TaSbH2 (meta-GGA SCAN)

Data for TaSbH2 at its PBEsol-relaxed geometry.

abc: 4.062 4.062 4.062
angles: 60.00 60.00 60.00
Fractional positions:
Ta1 0.000 0.000 0.000
Sb1 0.500 0.500 0.500
H1 0.250 0.250 0.250
H2 0.750 0.750 0.750

Calculated values
calculated volume	11.85	A^3/atom
DFT total energy	-26.62	eV/atom
size of the total moment	0.12	μB per atom
space group	Fm-3m (225)